Entry 1:
# PBE-GGA NbSiP2S, relaxed
# Total moment = 0.0 μB per cell
# Uncorrected formation energy = 0.54 eV per atom
# VASP energy = -5.548 eV/atom
data_NbSiP2S
_cell_length_a 4.892
_cell_length_b 4.892
_cell_length_c 4.665
_cell_angle_alpha 90.00
_cell_angle_beta 90.00
_cell_angle_gamma 90.00
_space_group_name_H-M_alt 'P 4/m m m'
_space_group_IT_number 123
_space_group_name_Hall '-P 4 2'
loop_
_atom_site_label
_atom_site_type_symbol
_atom_site_fract_x
_atom_site_fract_y
_atom_site_fract_z
Nb1 Nb 0.000 0.000 0.000
Si1 Si 0.500 0.500 0.500
P1 P 0.000 0.500 0.000
S1 S 0.000 0.000 0.500

=====

Entry 2:
# PBE-GGA Tl2PIrAu, relaxed
# Total moment = 1.0 μB per cell
# VASP energy = -3.174 eV/atom
# Energy of formation from the pure elements = 6.411 eV per formula unit
data_Tl2PIrAu
_cell_length_a 5.293
_cell_length_b 5.293
_cell_length_c 5.090
_cell_angle_alpha 90.00
_cell_angle_beta 90.00
_cell_angle_gamma 90.00
_space_group_name_H-M_alt 'P 4/m m m'
_space_group_IT_number 123
_space_group_name_Hall '-P 4 2'
loop_
_atom_site_label
_atom_site_type_symbol
_atom_site_fract_x
_atom_site_fract_y
_atom_site_fract_z
Tl1 Tl 0.000 0.500 0.000
P1 P 0.000 0.000 0.500
Ir1 Ir 0.500 0.500 0.500
Au1 Au 0.500 0.500 0.000

=====

Entry 3:
# PBE-GGA KMgNb2, relaxed
# Total moment = 0.0 μB per cell
# VASP energy = -4.474 eV/atom
# Energy of formation from the pure elements = 4.934 eV per formula unit
data_KMgNb2
_cell_length_a 4.049
_cell_length_b 4.049
_cell_length_c 22.984
_cell_angle_alpha 90.00
_cell_angle_beta 90.00
_cell_angle_gamma 90.00
_space_group_name_H-M_alt 'I -4 2 d'
_space_group_IT_number 122
_space_group_name_Hall 'I -4 2bw'
loop_
_atom_site_label
_atom_site_type_symbol
_atom_site_fract_x
_atom_site_fract_y
_atom_site_fract_z
K1 K 0.000 0.000 0.000
Mg1 Mg 0.000 0.000 0.500
Nb1 Nb 0.225 0.250 0.625

=====

Entry 4:
# PBE-GGA MgAl2Si, relaxed
# Total moment = 0.0 μB per cell
# Uncorrected formation energy = 0.12 eV per atom
# VASP energy = -3.509 eV/atom
data_MgAl2Si
_cell_length_a 2.982
_cell_length_b 4.670
_cell_length_c 5.117
_cell_angle_alpha 90.00
_cell_angle_beta 98.25
_cell_angle_gamma 90.00
_space_group_name_H-M_alt 'P 1 2/m 1'
_space_group_IT_number 10
loop_
_space_group_symop_operation_xyz
'x,y,z'
'-x,-y,-z'
'-x,y,-z'
'x,-y,z'
loop_
_atom_site_label
_atom_site_type_symbol
_atom_site_fract_x
_atom_site_fract_y
_atom_site_fract_z
Mg1 Mg 0.000 0.000 0.000
Al1 Al 0.362 0.500 0.734
Si1 Si 0.500 0.000 0.500

=====

Entry 5:
# PBE-GGA K2RbMnI6, relaxed
# Total moment = 4.0 μB per cell
# Uncorrected formation energy = -0.96 eV per atom
# VASP energy = -3.125 eV/atom
data_K2RbMnI6
_cell_length_a 8.625
_cell_length_b 8.629
_cell_length_c 8.820
_cell_angle_alpha 90.02
_cell_angle_beta 119.24
_cell_angle_gamma 119.94
_space_group_name_H-M_alt 'P 1'
_space_group_IT_number 1
loop_
_space_group_symop_operation_xyz
'x,y,z'
loop_
_atom_site_label
_atom_site_type_symbol
_atom_site_fract_x
_atom_site_fract_y
_atom_site_fract_z
K1 K 0.000 0.000 0.000
K2 K 0.027 0.514 0.540
Rb1 Rb 0.434 0.717 0.152
Mn1 Mn 0.415 0.208 0.623
I1 I 0.282 0.403 0.393
I2 I 0.311 0.318 0.842
I3 I 0.515 0.111 0.394
I4 I 0.524 0.994 0.842
I5 I 0.848 0.531 0.842
I6 I 0.990 0.879 0.393

=====

Entry 6:
# PBE-GGA Na2SmPu3Se6, relaxed
# Total moment = 34.0 μB per cell
# Uncorrected formation energy = -1.54 eV per atom
# VASP energy = -7.475 eV/atom
data_Na2SmPu3Se6
_cell_length_a 7.278
_cell_length_b 12.594
_cell_length_c 7.265
_cell_angle_alpha 90.00
_cell_angle_beta 109.44
_cell_angle_gamma 90.00
_space_group_name_H-M_alt 'C 1 2/m 1'
_space_group_IT_number 12
loop_
_space_group_symop_operation_xyz
'x,y,z'
'-x,-y,-z'
'-x,y,-z'
'x,-y,z'
'x+1/2,y+1/2,z'
'-x+1/2,-y+1/2,-z'
'-x+1/2,y+1/2,-z'
'x+1/2,-y+1/2,z'
loop_
_atom_site_label
_atom_site_type_symbol
_atom_site_fract_x
_atom_site_fract_y
_atom_site_fract_z
Na1 Na 0.000 0.166 0.000
Sm1 Sm 0.000 0.500 0.000
Pu1 Pu 0.000 0.000 0.500
Pu2 Pu 0.000 0.331 0.500
Se1 Se 0.241 0.500 0.743
Se2 Se 0.249 0.336 0.256

=====

Q: Number 6 is which compound?
A: Na2SmPu3Se6

=====

Please write out number 4 again, unchanged.
# PBE-GGA MgAl2Si, relaxed
# Total moment = 0.0 μB per cell
# Uncorrected formation energy = 0.12 eV per atom
# VASP energy = -3.509 eV/atom
data_MgAl2Si
_cell_length_a 2.982
_cell_length_b 4.670
_cell_length_c 5.117
_cell_angle_alpha 90.00
_cell_angle_beta 98.25
_cell_angle_gamma 90.00
_space_group_name_H-M_alt 'P 1 2/m 1'
_space_group_IT_number 10
loop_
_space_group_symop_operation_xyz
'x,y,z'
'-x,-y,-z'
'-x,y,-z'
'x,-y,z'
loop_
_atom_site_label
_atom_site_type_symbol
_atom_site_fract_x
_atom_site_fract_y
_atom_site_fract_z
Mg1 Mg 0.000 0.000 0.000
Al1 Al 0.362 0.500 0.734
Si1 Si 0.500 0.000 0.500

=====

Q: The highest total moment belongs to which entry?
A: Na2SmPu3Se6